DFT (GGA-PBE) results for an optimized crystal structure of CuBiW4N2.

Unit cell a=2.927 b=2.927 c=15.451 alpha=90.00 beta=90.00 gamma=120.00
Fractional positions:
Cu 0.000 0.000 0.000
Bi 0.667 0.333 0.500
W 0.000 0.000 0.316
W 0.000 0.000 0.684
W 0.667 0.333 0.139
W 0.667 0.333 0.861
N 0.333 0.667 0.229
N 0.333 0.667 0.771

DFT total energy: -72.1 eV/cell
total magnetic moment: 0.005 Bohr magnetons per cell
space group: No. 187


DFT (GGA-PBE) results for an optimized crystal structure of PmZrHg.

Unit cell a=5.002 b=5.002 c=5.002 alpha=60.00 beta=60.00 gamma=60.00
Fractional positions:
Pm 0.000 0.000 0.000
Zr 0.500 0.500 0.500
Hg 0.250 0.250 0.250

energy of formation from the pure elements: 60 kJ/mol of formula units
total magnetic moment: 1.281 Bohr magnetons per cell
space group: No. 216


DFT (GGA-PBE) results for an optimized crystal structure of TlTcNiOs.

Unit cell a=4.442 b=4.442 c=4.442 alpha=60.00 beta=60.00 gamma=60.00
Fractional positions:
Tl 0.000 0.000 0.000
Tc 0.750 0.750 0.750
Ni 0.250 0.250 0.250
Os 0.500 0.500 0.500

DFT total energy: -26.8 eV/cell
total magnetic moment: 0.002 Bohr magnetons per cell
space group: No. 216


DFT (GGA-PBE) results for an optimized crystal structure of La2NdHg3PdAu2.

Unit cell a=3.990 b=8.026 c=8.026 alpha=119.77 beta=90.00 gamma=90.00
Fractional positions:
La 0.000 0.198 0.802
La 0.000 0.802 0.198
Nd 0.000 0.594 0.594
Hg 0.500 0.200 0.456
Hg 0.500 0.456 0.200
Hg 0.500 0.938 0.938
Pd 0.000 0.197 0.197
Au 0.500 0.531 0.862
Au 0.500 0.862 0.531

energy of formation from the pure elements: -602 kJ/mol of formula units
total magnetic moment: 0.016 Bohr magnetons per cell
space group: No. 38


DFT (GGA-PBE) results for an optimized crystal structure of Sc2Pa2O5.

Unit cell a=4.092 b=4.092 c=7.379 alpha=90.00 beta=90.00 gamma=90.00
Fractional positions:
Sc 0.000 0.000 0.223
Sc 0.000 0.000 0.777
Pa 0.500 0.500 0.000
Pa 0.500 0.500 0.500
O 0.000 0.000 0.500
O 0.000 0.500 0.234
O 0.000 0.500 0.766
O 0.500 0.000 0.234
O 0.500 0.000 0.766

total magnetic moment: 3.177 Bohr magnetons per cell
space group: No. 123
relative energy among the computed polymorphs: 0.000 eV/atom


DFT (GGA-PBE) results for an optimized crystal structure of Nb2SnAu.

Unit cell a=4.762 b=4.762 c=4.762 alpha=60.00 beta=60.00 gamma=60.00
Fractional positions:
Nb 0.000 0.000 0.000
Nb 0.250 0.250 0.250
Sn 0.500 0.500 0.500
Au 0.750 0.750 0.750

DFT total energy: -26.5 eV/cell
total magnetic moment: 0.009 Bohr magnetons per cell
space group: No. 216


DFT (GGA-PBE) results for an optimized crystal structure of PuSiIr.

Unit cell a=4.388 b=4.388 c=4.388 alpha=60.00 beta=60.00 gamma=60.00
Fractional positions:
Pu 0.000 0.000 0.000
Si 0.500 0.500 0.500
Ir 0.750 0.750 0.750

DFT total energy: -29.5 eV/cell
total magnetic moment: 5.209 Bohr magnetons per cell
space group: No. 216


DFT (GGA-PBE) results for an optimized crystal structure of PrGdHg6.

Unit cell a=6.668 b=6.668 c=5.044 alpha=90.00 beta=90.00 gamma=120.00
Fractional positions:
Pr 0.000 0.000 0.000
Gd 0.333 0.667 0.500
Hg 0.342 0.171 0.500
Hg 0.500 0.001 0.000
Hg 0.500 0.500 0.000
Hg 0.829 0.171 0.500
Hg 0.829 0.658 0.500
Hg 0.999 0.500 0.000

energy of formation from the pure elements: -291 kJ/mol of formula units
total magnetic moment: 0.005 Bohr magnetons per cell
space group: No. 187


DFT (GGA-PBE) results for an optimized crystal structure of Zn2Sn3B2.

Unit cell a=9.955 b=9.955 c=9.955 alpha=22.84 beta=22.84 gamma=22.84
Fractional positions:
Zn 0.000 0.000 0.000
Zn 0.473 0.473 0.473
Sn 0.084 0.084 0.084
Sn 0.292 0.292 0.292
Sn 0.869 0.869 0.869
B 0.217 0.217 0.217
B 0.785 0.785 0.785

DFT total energy: -23.8 eV/cell
space group: No. 160


DFT (GGA-PBE) results for an optimized crystal structure of SmCdInS3.

Unit cell a=7.274 b=7.274 c=10.914 alpha=90.00 beta=90.00 gamma=146.90
Fractional positions:
Sm 0.000 0.000 0.000
Sm 0.000 0.000 0.500
Cd 0.453 0.547 0.750
Cd 0.547 0.453 0.250
In 0.263 0.737 0.250
In 0.737 0.263 0.750
S 0.068 0.932 0.750
S 0.368 0.632 0.549
S 0.368 0.632 0.951
S 0.632 0.368 0.049
S 0.632 0.368 0.451
S 0.932 0.068 0.250

DFT total energy: -54.0 eV/cell
total magnetic moment: 0.003 Bohr magnetons per cell
space group: No. 63


DFT (GGA-PBE) results for an optimized crystal structure of NbGaMoC.

Unit cell a=3.125 b=3.125 c=13.319 alpha=90.00 beta=90.00 gamma=120.00
Fractional positions:
Nb 0.333 0.667 0.093
Nb 0.667 0.333 0.907
Ga 0.333 0.667 0.743
Ga 0.667 0.333 0.257
Mo 0.333 0.667 0.414
Mo 0.667 0.333 0.586
C 0.000 0.000 0.000
C 0.000 0.000 0.500

total magnetic moment: 0.001 Bohr magnetons per cell
space group: No. 164
relative energy among the computed polymorphs: 0.000 eV/atom


DFT (GGA-PBE) results for an optimized crystal structure of Ba2InHg3.

Unit cell a=6.618 b=6.618 c=8.460 alpha=129.45 beta=129.45 gamma=46.70
Fractional positions:
Ba 0.000 0.000 0.000
Ba 0.088 0.088 0.598
In 0.709 0.709 0.401
Hg 0.375 0.375 0.582
Hg 0.387 0.387 0.193
Hg 0.710 0.710 0.029

DFT total energy: -10.4 eV/cell
space group: No. 8